Computed, not measured: a relaxed CsCrBr2 crystal at the PBE level of DFT.

Summary:
- E_form (uncorrected): -469.5 meV/atom
- Polymorph energy (0 for the lowest one): 351 meV/atom
- Total energy: -3.925 eV/atom

a = 8.055 Å, b = 8.055 Å, c = 8.055 Å
α = 90.00°, β = 90.00°, γ = 90.00°
Fractional positions:
Cs 0.000 0.000 0.000
Cs 0.000 0.500 0.500
Cs 0.500 0.000 0.500
Cs 0.500 0.500 0.000
Cr 0.000 0.000 0.500
Cr 0.000 0.500 0.000
Cr 0.500 0.000 0.000
Cr 0.500 0.500 0.500
Br 0.250 0.250 0.250
Br 0.250 0.250 0.750
Br 0.250 0.750 0.250
Br 0.250 0.750 0.750
Br 0.750 0.250 0.250
Br 0.750 0.250 0.750
Br 0.750 0.750 0.250
Br 0.750 0.750 0.750

---

Computed, not measured: a relaxed CsCrBr3 crystal at the PBE level of DFT.

Summary:
- E_form (uncorrected): -1120.7 meV/atom
- Polymorph energy (0 for the lowest one): 0 meV/atom
- Total energy: -4.220 eV/atom

a = 7.743 Å, b = 7.743 Å, c = 6.484 Å
α = 90.00°, β = 90.00°, γ = 120.00°
Fractional positions:
Cs 0.333 0.667 0.000
Cs 0.667 0.333 0.500
Cr 0.000 0.000 0.251
Cr 0.000 0.000 0.751
Br 0.158 0.316 0.501
Br 0.158 0.842 0.501
Br 0.316 0.158 0.001
Br 0.684 0.842 0.501
Br 0.842 0.158 0.001
Br 0.842 0.684 0.001